Entry 1:
Below is a relaxed TlIn2Pb crystal, with properties calculated at the PBE-GGA level.

Cell lengths 3.3918, 3.3918, 10.9666 Å; angles 90.00, 90.00, 110.98 degrees
Sites, in units of the cell vectors:
Pb: 0.5000 0.5000 0.2500
Tl: 0.5000 0.5000 0.7500
In: 0.0000 0.0000 0.9979
In: 0.0000 0.0000 0.5021

Values from the calculation:
E_tot in eV/atom: -2.857
Excess energy over the best structure of this formula in the dataset in kcal/mol of atoms: 0.79
ΔH_f (0 K) in eV per formula unit: 0.1



Entry 2:
Below is a relaxed Tl2InPb crystal, with properties calculated at the PBE-GGA level.

Cell lengths 6.1742, 6.1742, 5.9537 Å; angles 76.08, 76.08, 33.13 degrees
Sites, in units of the cell vectors:
Pb: 0.2461 0.2461 0.2599
Tl: 0.9987 0.9987 0.9963
Tl: 0.7538 0.7538 0.7498
In: 0.5014 0.5014 0.4940

Values from the calculation:
E_tot in eV/atom: -2.789
Excess energy over the best structure of this formula in the dataset in kcal/mol of atoms: 0.18
ΔH_f (0 K) in eV per formula unit: 0.0



Entry 3:
Below is a relaxed TlIn6Pb5 crystal, with properties calculated at the PBE-GGA level.

Cell lengths 5.0592, 10.0106, 8.9306 Å; angles 123.83, 106.02, 90.75 degrees
Sites, in units of the cell vectors:
Pb: 0.6662 0.1662 0.3323
Pb: 0.3319 0.3319 0.6637
Pb: 0.0000 0.5000 0.0000
Pb: 0.6681 0.6681 0.3363
Pb: 0.3338 0.8338 0.6677
Tl: 0.0000 0.0000 0.0000
In: 0.8337 0.5832 0.6667
In: 0.8330 0.0835 0.6667
In: 0.5017 0.7493 0.0000
In: 0.4983 0.2507 0.0000
In: 0.1670 0.9165 0.3333
In: 0.1663 0.4168 0.3333

Values from the calculation:
E_tot in eV/atom: -3.101
ΔH_f (0 K) in eV per formula unit: 0.1



Entry 4:
Below is a relaxed Tl3InPb3 crystal, with properties calculated at the PBE-GGA level.

Cell lengths 8.5122, 8.5122, 8.5122 Å; angles 90.00, 90.00, 90.00 degrees
Sites, in units of the cell vectors:
Pb: 0.0000 0.2500 0.5000
Pb: 0.0000 0.7500 0.5000
Pb: 0.5000 0.0000 0.7500
Pb: 0.7500 0.5000 0.0000
Pb: 0.5000 0.0000 0.2500
Pb: 0.2500 0.5000 0.0000
Tl: 0.2500 0.0000 0.5000
Tl: 0.0000 0.5000 0.2500
Tl: 0.5000 0.7500 0.0000
Tl: 0.7500 0.0000 0.5000
Tl: 0.0000 0.5000 0.7500
Tl: 0.5000 0.2500 0.0000
In: 0.5000 0.5000 0.5000
In: 0.0000 0.0000 0.0000

Values from the calculation:
E_tot in eV/atom: -2.541
Excess energy over the best structure of this formula in the dataset in kcal/mol of atoms: 9.39
ΔH_f (0 K) in eV per formula unit: 3.2



Entry 5:
Below is a relaxed TlInPb5 crystal, with properties calculated at the PBE-GGA level.

Cell lengths 5.0171, 5.0171, 9.0046 Å; angles 90.00, 90.00, 90.00 degrees
Sites, in units of the cell vectors:
Tl: 0.0000 0.0000 0.0000
In: 0.0000 0.0000 0.5000
Pb: 0.5000 0.5000 0.0000
Pb: 0.5000 0.0000 0.2756
Pb: 0.0000 0.5000 0.2756
Pb: 0.5000 0.0000 0.7244
Pb: 0.0000 0.5000 0.7244

Values from the calculation:
E_tot in eV/atom: -3.334
ΔH_f (0 K) in eV per formula unit: 0.3



Entry 6:
Below is a relaxed TlIn2Pb2 crystal, with properties calculated at the PBE-GGA level.

Cell lengths 4.9496, 4.9496, 7.6346 Å; angles 71.09, 71.09, 90.00 degrees
Sites, in units of the cell vectors:
Pb: 0.7500 0.2500 0.5000
Pb: 0.2500 0.7500 0.5000
Tl: 0.0000 0.0000 0.0000
In: 0.3949 0.3949 0.2102
In: 0.6051 0.6051 0.7898

Values from the calculation:
E_tot in eV/atom: -2.962
Excess energy over the best structure of this formula in the dataset in kcal/mol of atoms: 1.72
ΔH_f (0 K) in eV per formula unit: 0.4